Record 1
LuTi | PBE | optimized geometry

Values from the calculation:
**DOS at the Fermi energy**: 6.34 states/eV/cell
**Energy of formation**: 0.19 eV per atom

a b c (Å): 3.211 4.986 5.669
angles (deg): 90.00 90.00 90.00
Space group Pmmn (No. 59, origin choice 2)
Inequivalent atoms, fractional coordinates:
Lu: 0.250 0.250 0.108 [2 per cell]
Ti: 0.250 0.750 0.426 [2 per cell]



Record 2
Lu3Ti | PBE | optimized geometry

Values from the calculation:
**DOS at the Fermi energy**: 26.74 states/eV/cell
**Energy of formation**: 0.23 eV per atom

a b c (Å): 7.505 7.505 7.505
angles (deg): 90.00 90.00 90.00
Space group Fm-3m (No. 225)
Inequivalent atoms, fractional coordinates:
Lu: 0.000 0.000 0.000 [4 per cell]
Lu: 0.250 0.250 0.250 [8 per cell]
Ti: 0.000 0.000 0.500 [4 per cell]



Record 3
Lu2TiTl | PBE | optimized geometry

Values from the calculation:
**DOS at the Fermi energy**: 14.68 states/eV/cell
**Energy of formation**: 0.02 eV per atom

a b c (Å): 7.323 7.323 7.323
angles (deg): 90.00 90.00 90.00
Space group Fm-3m (No. 225)
Inequivalent atoms, fractional coordinates:
Lu: 0.250 0.250 0.250 [8 per cell]
Ti: 0.000 0.000 0.000 [4 per cell]
Tl: 0.000 0.000 0.500 [4 per cell]



Record 4
LuTiTl2 | PBE | optimized geometry

Values from the calculation:
**DOS at the Fermi energy**: 3.06 states/eV/cell
**Energy of formation**: 0.01 eV per atom

a b c (Å): 3.694 3.694 6.831
angles (deg): 90.00 90.00 90.00
Space group P4/mmm (No. 123)
Inequivalent atoms, fractional coordinates:
Lu: 0.000 0.000 0.000 [1 per cell]
Ti: 0.000 0.000 0.500 [1 per cell]
Tl: 0.500 0.500 0.269 [2 per cell]